An optimized crystal structure of CrReNi, computed with PBE.

Crystal system: orthorhombic
E above lowest polymorph: 0.097 eV/f.u.
Fermi-level density of states: 3.59 states/eV/f.u.

Structure (extended XYZ):
```
6
Lattice="2.507 0.000 0.000 0.000 3.886 0.000 0.000 0.000 7.804" Properties=species:S:1:pos:R:3 pbc="T T T"
Cr 0.000 0.000 0.000
Cr 1.254 1.943 3.902
Re 0.000 0.000 2.560
Re 1.254 1.943 6.462
Ni 0.000 0.000 5.165
Ni 1.254 1.943 1.263
```

An optimized crystal structure of Tb4Ag3, computed with PBE.

Crystal system: trigonal
E above lowest polymorph: 0.000 eV/f.u.
Fermi-level density of states: 5.70 states/eV/f.u.

Structure (extended XYZ):
```
14
Lattice="6.922 3.996 2.140 -6.922 3.996 2.140 0.000 -7.993 2.140" Properties=species:S:1:pos:R:3 pbc="T T T"
Tb 0.000 0.000 0.000
Tb -4.849 -1.618 3.184
Tb -1.024 -5.009 3.237
Tb -3.826 3.391 3.237
Tb 0.000 0.000 3.211
Tb 3.826 -3.391 3.184
Tb 1.024 5.009 3.184
Tb 4.849 1.618 3.237
Ag -2.824 0.580 1.991
Ag 0.910 -2.736 1.991
Ag -1.914 -2.156 4.430
Ag 1.914 2.155 1.991
Ag -0.910 2.736 4.430
Ag 2.824 -0.580 4.430
```

An optimized crystal structure of CrSe2N2, computed with PBE.

Crystal system: tetragonal
E above lowest polymorph: 4.438 eV/f.u.
Fermi-level density of states: 4.02 states/eV/f.u.

Structure (extended XYZ):
```
5
Lattice="3.673 0.000 0.000 0.000 3.673 0.000 0.000 0.000 5.609" Properties=species:S:1:pos:R:3 pbc="T T T"
Cr 0.000 0.000 0.000
Se 0.000 0.000 2.804
Se 1.836 1.836 2.804
N 0.000 1.836 0.000
N 1.836 0.000 0.000
```

An optimized crystal structure of KCIO2, computed with PBE.

Crystal system: tetragonal
E above lowest polymorph: 4.833 eV/f.u.
Fermi-level density of states: 6.41 states/eV/f.u.

Structure (extended XYZ):
```
5
Lattice="4.547 0.000 0.000 0.000 4.547 0.000 0.000 0.000 7.485" Properties=species:S:1:pos:R:3 pbc="T T T"
K 0.000 0.000 0.000
C 2.273 2.273 3.742
I 0.000 0.000 3.742
O 0.000 2.273 0.000
O 2.273 0.000 0.000
```

An optimized crystal structure of KTlFe, computed with PBE.

Crystal system: orthorhombic
E above lowest polymorph: 0.000 eV/f.u.
Fermi-level density of states: 3.20 states/eV/f.u.

Structure (extended XYZ):
```
6
Lattice="3.647 0.000 0.000 0.000 3.871 0.000 0.000 0.000 12.666" Properties=species:S:1:pos:R:3 pbc="T T T"
K 0.000 0.000 0.000
K 1.824 1.936 6.333
Tl 0.000 0.000 9.240
Tl 1.824 1.936 2.908
Fe 0.000 0.000 3.351
Fe 1.824 1.936 9.684
```

An optimized crystal structure of KMn2In, computed with PBE.

Crystal system: orthorhombic
Fermi-level density of states: 2.54 states/eV/f.u.
Uncorrected energy: -38.8 eV/cell

Structure (extended XYZ):
```
8
Lattice="3.043 0.000 0.000 0.000 5.511 0.000 0.000 0.000 11.056" Properties=species:S:1:pos:R:3 pbc="T T T"
K 0.000 0.000 0.000
K 1.521 2.756 5.528
Mn 0.000 0.000 5.406
Mn 0.000 2.756 8.739
Mn 1.521 0.000 3.211
Mn 1.521 2.756 10.934
In 0.000 2.756 2.342
In 1.521 0.000 7.870
```